Entry 1:
# TaFePb2 PBEsol relaxed
# - electronic total energy (eV/atom) = -6.8499
# - energy relative to the lowest polymorph listed for this composition (meV/atom) = 0
# - magnetization (μB/cell) = 3.8
data_TaFePb2
_symmetry_space_group_name_H-M 'C 1 m 1'
_symmetry_Int_Tables_number 8
_symmetry_space_group_name_Hall 'C -2y'
_cell_length_a 10.669
_cell_length_b 3.124
_cell_length_c 5.204
_cell_angle_alpha 90.00
_cell_angle_beta 111.15
_cell_angle_gamma 90.00
loop_
_atom_site_label
_atom_site_fract_x
_atom_site_fract_y
_atom_site_fract_z
Ta1 0.000 0.000 0.000
Fe1 0.326 0.000 0.708
Pb1 0.063 0.500 0.546
Pb2 0.271 0.500 0.183



Entry 2:
# Ta2FePb PBEsol relaxed
# - electronic total energy (eV/atom) = -9.2524
# - magnetization (μB/cell) = 0.8
data_Ta2FePb
_symmetry_space_group_name_H-M 'P 4/m m m'
_symmetry_Int_Tables_number 123
_symmetry_space_group_name_Hall '-P 4 2'
_cell_length_a 2.976
_cell_length_b 2.976
_cell_length_c 7.853
_cell_angle_alpha 90.00
_cell_angle_beta 90.00
_cell_angle_gamma 90.00
loop_
_atom_site_label
_atom_site_fract_x
_atom_site_fract_y
_atom_site_fract_z
Ta1 0.000 0.000 0.196
Fe1 0.500 0.500 0.000
Pb1 0.500 0.500 0.500



| no. | DFT formation energy (eV per atom) |
| --- | --- |
| 1 | 0.528 |
| 2 | 0.264 |